VASP calculation (GGA-PBEsol) on a relaxed structure of TaBeTe.

Structure (POSCAR):
```
TaBeTe
1.0
3.0155 0.0115 0.0000
-0.4082 2.9877 0.0000
-1.3036 -1.4996 6.5526
Be Ta Te
1 1 1
Cartesian
0.0000 0.0000 0.4871 Be
1.3036 1.4996 1.9842 Ta
0.0000 0.0000 4.0814 Te
```

## Properties
Symmetry   No. 42
Final energy   -6.126 eV per atom
Polymorph energy (0 for the lowest one)   0.000 eV per atom
Energy relative to the elements, uncorrected   567 meV per atom